{
  "formula": "AlMoPd",
  "functional": "GGA-PBE",
  "state": "relaxed",
  "lattice": [[-0.2472, -1.6011, -2.3400], [1.2991, -1.0287, 2.2975], [-11.4442, -4.6485, 4.3895]],
  "species": ["Mo", "Mo", "Pd", "Pd", "Al", "Al"],
  "frac_coords": [[0.6122, 0.2244, 0.0000], [0.2768, 0.5536, 0.5000], [0.6114, 0.2228, 0.3252], [0.6114, 0.2228, 0.6748], [0.2774, 0.5548, 0.8301], [0.2774, 0.5548, 0.1699]],
  "crystal_system": "orthorhombic",
  "delta_e_f_ev_per_atom": -0.26,
  "energy_ev_per_fu": -20.54,
  "volume_a3_per_cell": 91.4
}

=====

{
  "formula": "AlMo2Pd2",
  "functional": "GGA-PBE",
  "state": "relaxed",
  "lattice": [[3.8141, 0.0000, 0.0000], [0.0000, 3.8141, 0.0000], [1.9071, 1.9071, 5.9934]],
  "species": ["Mo", "Mo", "Al", "Pd", "Pd"],
  "frac_coords": [[0.4072, 0.4072, 0.1857], [0.5928, 0.5928, 0.8143], [0.0000, 0.0000, 0.0000], [0.7500, 0.2500, 0.5000], [0.2500, 0.7500, 0.5000]],
  "crystal_system": "tetragonal",
  "delta_e_f_ev_per_atom": 0.31,
  "energy_ev_per_fu": -34.24,
  "volume_a3_per_cell": 87.2
}